[1]
{
  "formula": "TePPbO2",
  "functional": "PBE",
  "state": "optimized geometry",
  "polymorph_energy_mev_per_atom": 524,
  "raw_formation_energy_mev_per_atom": 205,
  "crystal_system": "tetragonal",
  "lattice": [[4.188, 0.000, 0.000], [0.000, 4.188, 0.000], [0.000, 0.000, 5.763]],
  "species": ["Te", "P", "Pb", "O", "O"],
  "frac_coords": [[0.000, 0.000, 0.000], [0.500, 0.500, 0.000], [0.500, 0.500, 0.500], [0.000, 0.500, 0.500], [0.500, 0.000, 0.500]]
}

[2]
{
  "formula": "ZrAgSe2",
  "functional": "PBE",
  "state": "optimized geometry",
  "raw_formation_energy_mev_per_atom": -494,
  "crystal_system": "cubic",
  "lattice": [[0.000, 3.419, 3.419], [3.419, 0.000, 3.419], [3.419, 3.419, 0.000]],
  "species": ["Zr", "Ag", "Se", "Se"],
  "frac_coords": [[0.000, 0.000, 0.000], [0.500, 0.500, 0.500], [0.250, 0.250, 0.250], [0.750, 0.750, 0.750]]
}

[3]
{
  "formula": "Tl2SnBiH",
  "functional": "PBE",
  "state": "optimized geometry",
  "polymorph_energy_mev_per_atom": 22,
  "crystal_system": "tetragonal",
  "lattice": [[5.339, 0.000, 0.000], [0.000, 5.339, 0.000], [0.000, 0.000, 4.507]],
  "species": ["Tl", "Tl", "Sn", "Bi", "H"],
  "frac_coords": [[0.000, 0.500, 0.000], [0.500, 0.000, 0.000], [0.000, 0.000, 0.500], [0.500, 0.500, 0.500], [0.500, 0.500, 0.000]]
}

[4]
{
  "formula": "OsRhO4",
  "functional": "PBE",
  "state": "optimized geometry",
  "polymorph_energy_mev_per_atom": 0,
  "raw_formation_energy_mev_per_atom": -899,
  "crystal_system": "tetragonal",
  "lattice": [[-3.228, 3.228, 3.154], [3.228, -3.228, 3.154], [3.228, 3.228, -3.154]],
  "species": ["Os", "Os", "Rh", "Rh", "O", "O", "O", "O", "O", "O", "O", "O"],
  "frac_coords": [[0.000, 0.000, 0.000], [0.750, 0.250, 0.500], [0.252, 0.752, 0.500], [0.502, 0.502, 0.000], [0.047, 0.245, 0.803], [0.442, 0.245, 0.197], [0.507, 0.196, 0.689], [0.507, 0.817, 0.311], [0.567, 0.757, 0.811], [0.946, 0.757, 0.189], [0.995, 0.297, 0.303], [0.995, 0.692, 0.697]]
}